# 1
Below is ScIr2Pt after structural relaxation, with properties calculated at the GGA-PBEsol level.

Results
As for the crystal system: tetragonal. The calculation puts the calculated volume at 60.57 Å³/cell. The value obtained for the mass density is 17.1 g/cm³. The formation energy from the elements comes out at -0.52 eV/atom. The magnetic moment comes out at 0.0000 μB per atom.

a = 3.923 Å, b = 3.923 Å, c = 4.815 Å
α = 114.04°, β = 114.04°, γ = 90.00°
Atoms (fractional coordinates):
Ir  0.750  0.250  0.500
Ir  0.250  0.750  0.500
Pt  0.500  0.500  0.000
Sc  0.000  0.000  0.000


# 2
Below is ScIr2Pt after structural relaxation, with properties calculated at the GGA-PBEsol level.

Results
As for the crystal system: monoclinic. The calculation puts the calculated volume at 62.49 Å³/cell. The value obtained for the mass density is 16.6 g/cm³. The formation energy from the elements comes out at -0.37 eV/atom. The magnetic moment comes out at 0.0000 μB per atom.

a = 2.788 Å, b = 4.557 Å, c = 5.027 Å
α = 90.00°, β = 101.99°, γ = 90.00°
Atoms (fractional coordinates):
Ir  0.636  0.000  0.763
Ir  0.364  0.000  0.237
Pt  0.500  0.500  0.000
Sc  0.000  0.500  0.500


# 3
Below is ScIrPt2 after structural relaxation, with properties calculated at the GGA-PBEsol level.

Results
As for the crystal system: cubic. The calculation puts the calculated volume at 63.28 Å³/cell. The value obtained for the mass density is 16.5 g/cm³. The formation energy from the elements comes out at -0.44 eV/atom. The magnetic moment comes out at 0.0000 μB per atom.

a = 4.473 Å, b = 4.473 Å, c = 4.473 Å
α = 60.00°, β = 60.00°, γ = 60.00°
Atoms (fractional coordinates):
Ir  0.000  0.000  0.000
Pt  0.250  0.250  0.250
Pt  0.750  0.750  0.750
Sc  0.500  0.500  0.500


# 4
Below is ScIrPt2 after structural relaxation, with properties calculated at the GGA-PBEsol level.

Results
As for the crystal system: orthorhombic. The calculation puts the calculated volume at 61.97 Å³/cell. The value obtained for the mass density is 16.8 g/cm³. The formation energy from the elements comes out at -0.58 eV/atom. The magnetic moment comes out at 0.0001 μB per atom.

a = 2.824 Å, b = 3.917 Å, c = 5.602 Å
α = 90.00°, β = 90.00°, γ = 90.00°
Atoms (fractional coordinates):
Ir  0.500  0.500  0.764
Pt  0.000  0.000  0.991
Pt  0.500  0.500  0.245
Sc  0.000  0.000  0.500


# 5
Below is Sc4IrPt after structural relaxation, with properties calculated at the GGA-PBEsol level.

Results
As for the crystal system: cubic. The calculation puts the calculated volume at 104.50 Å³/cell. The value obtained for the mass density is 9.0 g/cm³. The formation energy from the elements comes out at 0.07 eV/atom. The magnetic moment comes out at 0.0009 μB per atom.

a = 5.287 Å, b = 5.287 Å, c = 5.287 Å
α = 60.00°, β = 60.00°, γ = 60.00°
Atoms (fractional coordinates):
Ir  0.750  0.750  0.750
Pt  0.000  0.000  0.000
Sc  0.375  0.375  0.375
Sc  0.375  0.375  0.874
Sc  0.874  0.375  0.375
Sc  0.375  0.874  0.375


# 6
Below is ScIr2Pt after structural relaxation, with properties calculated at the GGA-PBEsol level.

Results
As for the crystal system: monoclinic. The calculation puts the calculated volume at 60.92 Å³/cell. The value obtained for the mass density is 17.0 g/cm³. The formation energy from the elements comes out at -0.50 eV/atom. The magnetic moment comes out at 0.0000 μB per atom.

a = 2.830 Å, b = 4.763 Å, c = 4.811 Å
α = 100.14°, β = 107.11°, γ = 90.00°
Atoms (fractional coordinates):
Ir  0.996  0.972  0.992
Ir  0.253  0.773  0.507
Pt  0.502  0.496  0.004
Sc  0.749  0.258  0.498


> The highest calculated volume belongs to which entry?

Sc4IrPt


> formation energy from the elements of number 4 (ScIrPt2)?

-0.58 eV/atom